# 1
AcDy6YTm2 | GGA-PBE | relaxed

Structure (POSCAR):
```
AcDy6YTm2
1.0
9.0775 -1.9746 -2.0491
0.9925 8.5903 -2.0378
0.9925 -2.3548 8.5089
Y Dy Tm Ac
2 12 4 2
Direct
0.2500 0.4118 0.5882
0.7500 0.5882 0.4118
0.1168 0.7120 0.4892
0.8832 0.2880 0.5108
0.0567 0.1268 0.7513
0.4433 0.2487 0.8732
0.1795 0.5541 0.0145
0.3205 0.9855 0.4459
0.6795 0.0145 0.5541
0.5567 0.7513 0.1268
0.6168 0.4892 0.7120
0.8205 0.4459 0.9855
0.3832 0.5108 0.2880
0.9433 0.8732 0.2487
0.5486 0.2034 0.3168
0.4514 0.7966 0.6832
0.9514 0.6832 0.7966
0.0486 0.3168 0.2034
0.2500 0.9692 0.0308
0.7500 0.0308 0.9692
```

Properties
calculated total energy	-91.7	eV per cell
ΔH_f (0 K)	0.128	eV per atom


# 2
AcDy2Y6Tm | GGA-PBE | relaxed

Structure (POSCAR):
```
AcDy2Y6Tm
1.0
9.0811 -1.9598 -2.0339
0.9913 8.6442 -2.0275
0.9913 -2.3465 8.5631
Ac Dy Y Tm
2 4 12 2
Direct
0.7500 0.0304 0.9696
0.2500 0.9696 0.0304
0.0520 0.3160 0.2038
0.5520 0.2038 0.3160
0.9480 0.6840 0.7962
0.4480 0.7962 0.6840
0.1123 0.7127 0.4887
0.5577 0.7557 0.1293
0.6829 0.0082 0.5549
0.3171 0.9918 0.4451
0.4423 0.2443 0.8707
0.6123 0.4887 0.7127
0.9423 0.8707 0.2443
0.1829 0.5549 0.0082
0.3877 0.5113 0.2873
0.8877 0.2873 0.5113
0.0577 0.1293 0.7557
0.8171 0.4451 0.9918
0.2500 0.4139 0.5861
0.7500 0.5861 0.4139
```

Properties
calculated total energy	-110.6	eV per cell
ΔH_f (0 K)	0.128	eV per atom


# 3
AcDy3Y6Tm2 | GGA-PBE | relaxed

Structure (POSCAR):
```
AcDy3Y6Tm2
1.0
6.2061 0.0009 0.0126
-3.1008 5.3759 0.0126
-1.0546 -1.8261 11.6944
Tm Y Dy Ac
2 6 3 1
Direct
0.3334 0.6666 0.0000
0.6666 0.3334 0.0000
0.5781 0.9146 0.7464
0.4219 0.0854 0.2536
0.7486 0.7486 0.2537
0.2514 0.2514 0.7463
0.9146 0.5781 0.7464
0.0854 0.4219 0.2536
0.1672 0.8328 0.5000
0.5000 0.5000 0.5000
0.8328 0.1672 0.5000
0.0000 0.0000 0.0000
```

Properties
calculated total energy	-65.2	eV per cell
ΔH_f (0 K)	0.034	eV per atom


# 4
AcDyY2Tm | GGA-PBE | relaxed

Structure (POSCAR):
```
AcDyY2Tm
1.0
5.8162 0.0000 0.0000
0.0000 9.7937 -0.0052
0.0000 -2.0965 6.0136
Tm Ac Y Dy
2 2 4 2
Direct
0.2500 0.6895 0.7610
0.7500 0.3105 0.2390
0.7500 0.8940 0.0339
0.2500 0.1060 0.9661
0.7500 0.4965 0.8316
0.2500 0.5035 0.1684
0.2500 0.3053 0.5655
0.7500 0.6947 0.4345
0.7500 0.1074 0.6279
0.2500 0.8926 0.3721
```

Properties
calculated total energy	-51.8	eV per cell
ΔH_f (0 K)	0.040	eV per atom


# 5
AcDy3YTm | GGA-PBE | relaxed

Structure (POSCAR):
```
AcDy3YTm
1.0
-4.1107 -3.4058 0.7570
8.9402 -7.2023 -3.0575
2.3402 -1.4015 6.4028
Tm Dy Y Ac
2 6 2 2
Direct
0.6681 0.3362 0.4777
0.3319 0.6638 0.5223
0.7744 0.5487 0.8080
0.1818 0.3636 0.7167
0.8182 0.6364 0.2833
0.5214 0.0428 0.7168
0.2256 0.4513 0.1920
0.4786 0.9572 0.2832
0.0754 0.1508 0.3907
0.9246 0.8492 0.6093
0.3727 0.7454 0.9843
0.6273 0.2546 0.0157
```

Properties
calculated total energy	-55.0	eV per cell
ΔH_f (0 K)	0.224	eV per atom


# 6
AcDy2V | GGA-PBE | relaxed

Structure (POSCAR):
```
AcDy2V
1.0
-0.6389 1.7851 2.9609
0.9268 -1.3596 3.1071
10.5855 5.3244 1.1617
Ac Dy V
1 2 1
Direct
0.5000 0.5000 0.5000
0.9206 0.9206 0.2382
0.0794 0.0794 0.7618
0.0000 0.0000 0.0000
```

Properties
calculated total energy	-19.6	eV per cell
ΔH_f (0 K)	0.717	eV per atom